NaWO3, relaxed, DFT PBE with a Hubbard U; DOS at the Fermi energy = 0.8 states/eV per cell; calculated total energy = -33.2 eV per formula unit
1.0
-0.342 3.858 0.704
-2.716 0.277 -2.836
-2.829 -0.732 2.637
O Na W
3 1 1
Cartesian
-0.171 1.929 0.352 O
-1.414 -0.366 1.319 O
-1.358 0.139 -1.418 O
-2.943 1.701 0.253 Na
0.000 0.000 0.000 W


NaW8O24, relaxed, DFT PBE with a Hubbard U; DOS at the Fermi energy = 2.9 states/eV per cell; calculated total energy = -244.3 eV per formula unit
1.0
7.736 0.000 0.000
0.000 7.736 0.000
-3.868 -3.868 7.745
O Na W
24 1 8
Cartesian
1.936 1.930 3.871 O
2.016 -0.001 1.932 O
1.962 5.773 0.001 O
5.798 1.932 3.873 O
5.719 0.001 1.932 O
3.867 2.038 1.915 O
-0.001 2.002 5.820 O
5.773 1.962 0.001 O
5.870 3.868 1.924 O
3.868 5.697 1.915 O
3.868 -1.852 5.813 O
-1.829 0.000 5.829 O
0.000 1.848 1.931 O
0.000 5.887 1.931 O
3.867 1.852 5.813 O
1.938 -1.932 3.873 O
2.020 3.867 5.814 O
1.829 0.000 5.829 O
5.800 -1.930 3.871 O
1.865 3.867 1.924 O
-1.905 -1.906 7.744 O
0.001 -2.002 5.820 O
-2.020 3.868 5.814 O
1.905 1.906 7.744 O
3.868 3.868 0.000 Na
5.811 5.812 1.942 W
5.810 1.927 1.948 W
1.944 -1.944 5.803 W
1.941 1.942 5.797 W
1.926 5.809 1.948 W
1.924 1.924 1.942 W
-1.944 1.944 5.803 W
-1.941 -1.942 5.797 W


Na8WO6, relaxed, DFT PBE with a Hubbard U; calculated total energy = -68.7 eV per formula unit
1.0
-2.085 1.526 -5.760
-5.935 -1.354 -1.670
-4.383 5.129 -0.514
Na O W
8 6 1
Cartesian
-7.412 3.821 -5.507 Na
-4.459 3.994 -3.382 Na
-4.991 1.480 -2.438 Na
-4.881 2.826 -5.821 Na
-7.521 2.475 -2.123 Na
-7.013 5.060 -3.040 Na
-5.389 0.240 -4.904 Na
-7.944 1.307 -4.563 Na
-6.825 0.209 -2.884 O
-6.732 1.625 -6.462 O
-3.599 1.819 -4.233 O
-5.578 5.091 -5.061 O
-8.804 3.482 -3.711 O
-5.671 3.675 -1.482 O
0.000 0.000 0.000 W


NaY2WO6, relaxed, DFT PBE with a Hubbard U; DOS at the Fermi energy = 0.0 states/eV per cell; calculated total energy = -78.8 eV per formula unit
1.0
-0.825 5.547 1.024
-2.938 3.126 -3.683
-5.559 1.881 1.569
O Y W Na
6 2 1 1
Cartesian
-5.578 3.477 -0.109 O
-6.661 5.784 -0.894 O
-3.803 7.564 -0.787 O
-4.313 4.767 -2.956 O
-2.463 4.367 0.103 O
-5.251 5.737 1.374 O
-5.317 1.903 1.409 Y
-4.300 5.356 -0.706 Y
-1.404 2.858 -0.792 W
-6.335 8.055 -1.165 Na


Na2YWO6, relaxed, DFT PBE with a Hubbard U; DOS at the Fermi energy = 13.3 states/eV per cell; calculated total energy = -68.2 eV per formula unit
1.0
-3.263 -3.450 3.173
3.787 -4.370 -0.856
4.118 2.261 6.682
O Na W Y
12 4 2 2
Cartesian
0.452 -1.530 0.713 O
3.595 -3.241 3.396 O
1.888 -3.866 0.549 O
1.046 -2.318 5.603 O
4.686 -0.622 5.008 O
2.770 -4.985 5.374 O
5.340 -4.034 5.363 O
2.754 -1.692 8.450 O
4.190 -4.028 8.286 O
-0.698 -1.524 3.636 O
1.872 -0.573 3.625 O
-0.044 -4.936 3.991 O
-0.044 -1.869 8.120 Na
3.453 -2.368 6.182 Na
4.686 -3.689 0.879 Na
1.189 -3.190 2.817 Na
0.428 -0.594 4.927 W
1.893 -2.185 -0.428 W
-1.632 -1.725 1.586 Y
3.953 -1.054 2.913 Y


Na2YWO, relaxed, DFT PBE with a Hubbard U; DOS at the Fermi energy = 4.2 states/eV per cell; calculated total energy = -14.7 eV per formula unit
1.0
5.520 0.000 0.000
0.000 5.923 0.000
0.000 0.000 5.520
W O Y Na
1 1 1 2
Cartesian
0.000 0.000 0.000 W
2.760 2.961 2.760 O
0.000 2.961 0.000 Y
2.760 0.000 0.000 Na
0.000 0.000 2.760 Na


Na2YWO, relaxed, DFT PBE with a Hubbard U; DOS at the Fermi energy = 1.1 states/eV per cell; calculated total energy = -23.0 eV per formula unit
1.0
4.962 0.000 0.000
0.000 4.497 0.000
0.000 0.000 4.962
Y Na W O
1 2 1 1
Cartesian
0.000 2.248 0.000 Y
0.000 0.000 2.481 Na
2.481 0.000 0.000 Na
2.481 2.248 2.481 W
0.000 0.000 0.000 O


NaYW2O8, relaxed, DFT PBE with a Hubbard U; DOS at the Fermi energy = 0.0 states/eV per cell; calculated total energy = -89.5 eV per formula unit
1.0
6.223 0.046 0.000
-2.719 5.598 0.000
-1.752 -2.822 5.263
O W Y Na
8 2 1 1
Cartesian
3.322 -1.494 3.610 O
1.659 -0.462 1.653 O
0.310 2.479 1.044 O
2.901 1.540 3.610 O
-0.332 1.445 4.218 O
4.564 0.507 1.653 O
0.332 -1.445 4.218 O
3.194 3.165 1.044 O
1.752 2.822 0.000 W
3.112 0.023 2.631 W
-1.360 2.799 2.631 Y
0.000 0.000 0.000 Na


Na3Y3WO8, relaxed, DFT PBE with a Hubbard U; DOS at the Fermi energy = 0.0 states/eV per cell; calculated total energy = -109.5 eV per formula unit
1.0
6.753 0.000 0.000
-3.376 5.893 0.005
0.000 -3.886 5.576
Na O Y W
3 8 3 1
Cartesian
1.688 2.947 0.002 Na
0.000 0.000 0.000 Na
-1.688 2.947 0.002 Na
1.542 -1.045 1.689 O
1.834 3.053 3.892 O
0.000 1.996 1.625 O
-1.834 3.053 3.892 O
3.376 0.012 3.956 O
0.000 -0.077 3.908 O
5.210 -1.045 1.689 O
3.376 2.084 1.673 O
-1.688 1.004 2.790 Y
3.376 -1.943 2.788 Y
1.688 1.004 2.790 Y
0.000 -1.943 2.788 W


Na2Zn2WO6, relaxed, DFT PBE with a Hubbard U; DOS at the Fermi energy = 0.0 states/eV per cell; calculated total energy = -60.5 eV per formula unit
1.0
-1.618 -4.932 -1.063
3.240 0.901 4.095
-4.449 0.736 3.359
W O Na Zn
1 6 2 2
Cartesian
0.000 0.000 0.000 W
0.244 -2.641 2.757 O
-1.451 -1.917 6.057 O
-3.072 -0.655 3.634 O
-1.376 -1.379 0.333 O
-1.334 1.213 5.527 O
-1.494 -4.509 0.864 O
-0.604 -0.676 4.055 Na
-2.223 -2.620 2.335 Na
-4.448 -2.252 4.015 Zn
1.621 -1.044 2.376 Zn


Na3Zn2WO6, relaxed, DFT PBE with a Hubbard U; DOS at the Fermi energy = 0.0 states/eV per cell; calculated total energy = -63.9 eV per formula unit
1.0
-1.471 -0.218 -5.292
-2.440 -3.129 3.804
-2.405 4.989 1.340
O Na Zn W
6 3 2 1
Cartesian
-3.506 -1.530 -0.863 O
-5.072 0.918 1.351 O
-1.244 0.724 -1.498 O
-1.550 -0.194 1.370 O
-2.810 3.172 0.715 O
-4.766 1.836 -1.518 O
-3.158 0.821 -0.074 Na
-3.472 -0.121 2.870 Na
-2.844 1.763 -3.018 Na
-1.788 -1.169 -2.320 Zn
-2.124 -2.178 0.832 Zn
0.000 0.000 0.000 W


Na2ZrW3O12, relaxed, DFT PBE with a Hubbard U; DOS at the Fermi energy = 0.0 states/eV per cell; calculated total energy = -131.9 eV per formula unit
1.0
-1.211 2.354 4.369
2.296 -3.721 2.641
16.050 10.452 -4.168
O Zr W Na
24 2 6 4
Cartesian
14.266 8.473 -2.820 O
15.127 10.580 -0.711 O
11.339 4.967 -0.563 O
14.464 8.442 1.671 O
6.956 5.539 0.441 O
3.876 -1.096 3.263 O
4.213 3.614 3.292 O
6.621 2.966 4.646 O
1.544 -0.002 5.049 O
7.879 8.011 1.734 O
6.963 5.723 3.323 O
1.808 2.436 3.564 O
12.257 8.716 -0.171 O
3.880 1.548 1.827 O
1.530 -0.194 1.882 O
6.083 0.442 3.350 O
11.627 7.098 -2.426 O
6.601 2.813 1.879 O
11.964 6.792 1.484 O
13.548 6.476 -0.860 O
9.853 7.509 -0.284 O
16.595 8.097 -0.557 O
9.492 5.283 1.892 O
4.204 1.206 4.903 O
11.240 5.615 3.078 Zr
3.549 -0.447 1.225 Zr
5.657 2.328 3.301 W
11.583 6.819 -0.463 W
0.702 -0.590 3.499 W
7.850 6.155 1.846 W
12.806 9.073 1.648 W
2.681 3.112 2.053 W
5.874 3.458 -0.235 Na
8.899 2.703 1.011 Na
15.319 6.482 0.754 Na
16.589 8.764 2.864 Na